{
  "formula": "RbAcAg",
  "functional": "PBE",
  "state": "relaxed",
  "polymorph_energy_mev_per_atom": 0,
  "final_energy_ev_per_atom": -2.3127,
  "mass_density_g_cm3": 5.57,
  "volume_a3_per_atom": 41.765,
  "cell": [[0.000, 3.972, 3.972], [3.972, 0.000, 3.972], [3.972, 3.972, 0.000]],
  "species": ["Rb", "Ac", "Ag"],
  "fractional_positions": [[0.000, 0.000, 0.000], [0.500, 0.500, 0.500], [0.750, 0.750, 0.750]]
}